Record 1
# SmHoTm2Sc4 (GGA-PBE, relaxed)
data_SmHoTm2Sc4
_chemical_formula_sum 'Sm4 Ho4 Tm8 Sc16'
_cell_length_a 12.988
_cell_length_b 12.654
_cell_length_c 6.486
_cell_angle_alpha 90.00
_cell_angle_beta 119.95
_cell_angle_gamma 90.00
_symmetry_space_group_name_H-M 'C 1 2/c 1'
_symmetry_Int_Tables_number 15
loop_
_symmetry_equiv_pos_as_xyz
'x,y,z'
'-x,-y,-z'
'-x,y,-z+1/2'
'x,-y,z+1/2'
'x+1/2,y+1/2,z'
'-x+1/2,-y+1/2,-z'
'-x+1/2,y+1/2,-z+1/2'
'x+1/2,-y+1/2,z+1/2'
loop_
_atom_site_label
_atom_site_type_symbol
_atom_site_fract_x
_atom_site_fract_y
_atom_site_fract_z
Sm1 Sm 0.000 0.000 0.000
Ho1 Ho 0.250 0.250 0.000
Tm1 Tm 0.000 0.500 0.000
Tm2 Tm 0.250 0.250 0.500
Sc1 Sc 0.000 0.253 0.000
Sc2 Sc 0.247 0.499 0.495
# DOS(E_F)   69.0 states/eV/cell
# Crystal system   monoclinic
# Energy of formation   0.432 eV/atom

***

Record 2
# SmHoTmSc (GGA-PBE, relaxed)
data_SmHoTmSc
_chemical_formula_sum 'Sm2 Ho2 Tm2 Sc2'
_cell_length_a 11.991
_cell_length_b 5.561
_cell_length_c 3.797
_cell_angle_alpha 90.00
_cell_angle_beta 108.45
_cell_angle_gamma 90.00
_symmetry_space_group_name_H-M 'C 1 m 1'
_symmetry_Int_Tables_number 8
loop_
_symmetry_equiv_pos_as_xyz
'x,y,z'
'x,-y,z'
'x+1/2,y+1/2,z'
'x+1/2,-y+1/2,z'
loop_
_atom_site_label
_atom_site_type_symbol
_atom_site_fract_x
_atom_site_fract_y
_atom_site_fract_z
Sm1 Sm 0.000 0.000 0.000
Ho1 Ho 0.276 0.000 0.774
Tm1 Tm 0.039 0.500 0.539
Sc1 Sc 0.267 0.500 0.266
# DOS(E_F)   14.3 states/eV/cell
# Crystal system   monoclinic
# Energy of formation   0.108 eV/atom

***

Record 3
# SmHoTmSc (GGA-PBE, relaxed)
data_SmHoTmSc
_chemical_formula_sum 'Sm4 Ho4 Tm4 Sc4'
_cell_length_a 7.820
_cell_length_b 7.820
_cell_length_c 7.820
_cell_angle_alpha 90.00
_cell_angle_beta 90.00
_cell_angle_gamma 90.00
_symmetry_space_group_name_H-M 'F -4 3 m'
_symmetry_Int_Tables_number 216
_symmetry_space_group_name_Hall 'F -4 2 3'
loop_
_atom_site_label
_atom_site_type_symbol
_atom_site_fract_x
_atom_site_fract_y
_atom_site_fract_z
Sm1 Sm 0.000 0.000 0.000
Ho1 Ho 0.000 0.000 0.500
Tm1 Tm 0.250 0.250 0.750
Sc1 Sc 0.250 0.250 0.250
# DOS(E_F)   23.8 states/eV/cell
# Crystal system   cubic
# Energy of formation   0.110 eV/atom

***

Record 4
# SmHo2Tm5Sc (GGA-PBE, relaxed)
data_SmHo2Tm5Sc
_chemical_formula_sum 'Sm4 Ho8 Tm20 Sc4'
_cell_length_a 5.495
_cell_length_b 19.530
_cell_length_c 10.288
_cell_angle_alpha 90.00
_cell_angle_beta 90.00
_cell_angle_gamma 90.00
_symmetry_space_group_name_H-M 'C m c 21'
_symmetry_Int_Tables_number 36
loop_
_symmetry_equiv_pos_as_xyz
'x,y,z'
'-x,-y,z+1/2'
'-x,y,z'
'x,-y,z+1/2'
'x+1/2,y+1/2,z'
'-x+1/2,-y+1/2,z+1/2'
'-x+1/2,y+1/2,z'
'x+1/2,-y+1/2,z+1/2'
loop_
_atom_site_label
_atom_site_type_symbol
_atom_site_fract_x
_atom_site_fract_y
_atom_site_fract_z
Sm1 Sm 0.000 0.087 0.000
Ho1 Ho 0.000 0.386 0.281
Ho2 Ho 0.000 0.389 0.861
Tm1 Tm 0.000 0.020 0.284
Tm2 Tm 0.000 0.121 0.567
Tm3 Tm 0.000 0.201 0.252
Tm4 Tm 0.000 0.223 0.867
Tm5 Tm 0.000 0.482 0.567
Sc1 Sc 0.000 0.303 0.560
# DOS(E_F)   56.8 states/eV/cell
# Crystal system   orthorhombic
# Energy of formation   0.174 eV/atom

***

Record 5
# Sm2Ho5TmSc (GGA-PBE, relaxed)
data_Sm2Ho5TmSc
_chemical_formula_sum 'Sm8 Ho20 Tm4 Sc4'
_cell_length_a 5.504
_cell_length_b 19.979
_cell_length_c 10.301
_cell_angle_alpha 90.00
_cell_angle_beta 90.00
_cell_angle_gamma 90.00
_symmetry_space_group_name_H-M 'C m c 21'
_symmetry_Int_Tables_number 36
loop_
_symmetry_equiv_pos_as_xyz
'x,y,z'
'-x,-y,z+1/2'
'-x,y,z'
'x,-y,z+1/2'
'x+1/2,y+1/2,z'
'-x+1/2,-y+1/2,z+1/2'
'-x+1/2,y+1/2,z'
'x+1/2,-y+1/2,z+1/2'
loop_
_atom_site_label
_atom_site_type_symbol
_atom_site_fract_x
_atom_site_fract_y
_atom_site_fract_z
Sm1 Sm 0.000 0.112 0.000
Sm2 Sm 0.000 0.115 0.422
Ho1 Ho 0.000 0.016 0.703
Ho2 Ho 0.000 0.274 0.007
Ho3 Ho 0.000 0.300 0.389
Ho4 Ho 0.000 0.375 0.707
Ho5 Ho 0.000 0.483 0.427
Tm1 Tm 0.000 0.407 0.144
Sc1 Sc 0.000 0.195 0.701
# DOS(E_F)   53.2 states/eV/cell
# Crystal system   orthorhombic
# Energy of formation   0.157 eV/atom

***

Record 6
# Sm6Ho2Tm3Sc (GGA-PBE, relaxed)
data_Sm6Ho2Tm3Sc
_chemical_formula_sum 'Sm12 Ho4 Tm6 Sc2'
_cell_length_a 6.159
_cell_length_b 10.663
_cell_length_c 11.643
_cell_angle_alpha 90.00
_cell_angle_beta 100.12
_cell_angle_gamma 90.00
_symmetry_space_group_name_H-M 'C 1 2/m 1'
_symmetry_Int_Tables_number 12
loop_
_symmetry_equiv_pos_as_xyz
'x,y,z'
'-x,-y,-z'
'-x,y,-z'
'x,-y,z'
'x+1/2,y+1/2,z'
'-x+1/2,-y+1/2,-z'
'-x+1/2,y+1/2,-z'
'x+1/2,-y+1/2,z'
loop_
_atom_site_label
_atom_site_type_symbol
_atom_site_fract_x
_atom_site_fract_y
_atom_site_fract_z
Sm1 Sm 0.248 0.000 0.251
Sm2 Sm 0.248 0.165 0.749
Ho1 Ho 0.000 0.333 0.500
Tm1 Tm 0.000 0.167 0.000
Tm2 Tm 0.000 0.500 0.000
Sc1 Sc 0.000 0.000 0.500
# DOS(E_F)   27.6 states/eV/cell
# Crystal system   monoclinic
# Energy of formation   0.026 eV/atom

***

Q: Among the records above, which one has the lowest energy of formation?
A: Sm6Ho2Tm3Sc

***

Copy entry 6 word for word.
# Sm6Ho2Tm3Sc (GGA-PBE, relaxed)
data_Sm6Ho2Tm3Sc
_chemical_formula_sum 'Sm12 Ho4 Tm6 Sc2'
_cell_length_a 6.159
_cell_length_b 10.663
_cell_length_c 11.643
_cell_angle_alpha 90.00
_cell_angle_beta 100.12
_cell_angle_gamma 90.00
_symmetry_space_group_name_H-M 'C 1 2/m 1'
_symmetry_Int_Tables_number 12
loop_
_symmetry_equiv_pos_as_xyz
'x,y,z'
'-x,-y,-z'
'-x,y,-z'
'x,-y,z'
'x+1/2,y+1/2,z'
'-x+1/2,-y+1/2,-z'
'-x+1/2,y+1/2,-z'
'x+1/2,-y+1/2,z'
loop_
_atom_site_label
_atom_site_type_symbol
_atom_site_fract_x
_atom_site_fract_y
_atom_site_fract_z
Sm1 Sm 0.248 0.000 0.251
Sm2 Sm 0.248 0.165 0.749
Ho1 Ho 0.000 0.333 0.500
Tm1 Tm 0.000 0.167 0.000
Tm2 Tm 0.000 0.500 0.000
Sc1 Sc 0.000 0.000 0.500
# DOS(E_F)   27.6 states/eV/cell
# Crystal system   monoclinic
# Energy of formation   0.026 eV/atom

***

Q: Which formula does entry 4 have?
A: SmHo2Tm5Sc

***

Q: The highest energy of formation belongs to which entry?
A: SmHoTm2Sc4